A plane-wave DFT calculation with PBE was carried out for a relaxed structure of Li2PmSn3.

```
Li2PmSn3
1.0
3.522 0.000 0.000
0.000 3.522 0.000
0.000 0.000 11.147
Li Pm Sn
2 1 3
Direct
0.500 0.500 0.147
0.500 0.500 0.853
0.500 0.500 0.500
0.000 0.000 0.000
0.000 0.000 0.299
0.000 0.000 0.701
```

Computed properties:
The calculation puts the energy relative to the lowest polymorph listed for this composition at 52 meV per atom. As for the crystal system: tetragonal. Its density is 6.19 Mg/m³.


A plane-wave DFT calculation with PBE was carried out for a relaxed structure of K2CrAs.

```
K2CrAs
1.0
5.306 0.003 0.000
-0.017 5.306 0.000
-2.645 -2.655 3.757
Cr As K
1 1 2
Direct
0.750 0.250 0.500
0.500 0.500 0.000
0.000 0.000 0.000
0.250 0.750 0.500
```

Computed properties:
As for the crystal system: tetragonal. Its density is 3.22 Mg/m³.


Number 1: energy of formation from the pure elements -2.59 eV/f.u., spin magnetization 0.0 μB per cell. Number 2: energy of formation from the pure elements 1.08 eV/f.u., spin magnetization 5.0 μB per cell.